(1)
## U2PdSe6 (GGA-PBE)

Data for crystalline U2PdSe6 at its relaxed geometry.

CIF file:
```
data_U2PdSe6
_cell_length_a 6.367
_cell_length_b 7.363
_cell_length_c 10.710
_cell_angle_alpha 90.00
_cell_angle_beta 124.39
_cell_angle_gamma 90.00
_symmetry_space_group_name_H-M 'P 1 21/c 1'
_symmetry_Int_Tables_number 14
loop_
_symmetry_equiv_pos_as_xyz
'x,y,z'
'-x,-y,-z'
'-x,y+1/2,-z+1/2'
'x,-y+1/2,z+1/2'
loop_
_atom_site_label
_atom_site_type_symbol
_atom_site_fract_x
_atom_site_fract_y
_atom_site_fract_z
U1 U 0.191 0.134 0.248
Pd1 Pd 0.000 0.000 0.500
Se1 Se 0.111 0.163 0.942
Se2 Se 0.284 0.674 0.942
Se3 Se 0.420 0.046 0.754
```

Results
total moment: 2.4 μB per formula unit
calculated total energy: -6.252 eV per atom
V: 23.02 Å³/atom
E_form (uncorrected): -843 meV per atom

***

(2)
## U2Pd4Se5 (GGA-PBE)

Data for crystalline U2Pd4Se5 at its relaxed geometry.

CIF file:
```
data_U2Pd4Se5
_cell_length_a 4.1126
_cell_length_b 4.1126
_cell_length_c 50.2299
_cell_angle_alpha 90.00
_cell_angle_beta 90.00
_cell_angle_gamma 120.00
_symmetry_space_group_name_H-M 'R -3 m'
_symmetry_Int_Tables_number 166
_symmetry_space_group_name_Hall '-R 3 2"'
loop_
_atom_site_label
_atom_site_type_symbol
_atom_site_fract_x
_atom_site_fract_y
_atom_site_fract_z
U1 U 0.0000 0.0000 0.1324
Pd1 Pd 0.0000 0.0000 0.3166
Pd2 Pd 0.0000 0.0000 0.4196
Se1 Se 0.0000 0.0000 0.2328
Se2 Se 0.0000 0.0000 0.3686
Se3 Se 0.0000 0.0000 0.5000
```

Results
total moment: 5.4 μB per formula unit
calculated total energy: -6.082 eV per atom
V: 22.29 Å³/atom
E_form (uncorrected): -558 meV per atom

***

(3)
## UPd4Se8 (GGA-PBE)

Data for crystalline UPd4Se8 at its relaxed geometry.

CIF file:
```
data_UPd4Se8
_cell_length_a 7.7670
_cell_length_b 7.7670
_cell_length_c 16.8786
_cell_angle_alpha 90.00
_cell_angle_beta 90.00
_cell_angle_gamma 120.00
_symmetry_space_group_name_H-M 'R -3 m'
_symmetry_Int_Tables_number 166
_symmetry_space_group_name_Hall '-R 3 2"'
loop_
_atom_site_label
_atom_site_type_symbol
_atom_site_fract_x
_atom_site_fract_y
_atom_site_fract_z
U1 U 0.0000 0.0000 0.0000
Pd1 Pd 0.0000 0.0000 0.5000
Pd2 Pd 0.0000 0.5000 0.5000
Se1 Se 0.0000 0.0000 0.2399
Se2 Se 0.0046 0.5023 0.2482
```

Results
total moment: 0.0 μB per formula unit
calculated total energy: -5.027 eV per atom
V: 22.61 Å³/atom
E_form (uncorrected): -416 meV per atom

***

(4)
## U3PdSe6 (GGA-PBE)

Data for crystalline U3PdSe6 at its relaxed geometry.

CIF file:
```
data_U3PdSe6
_cell_length_a 11.171
_cell_length_b 13.613
_cell_length_c 6.668
_cell_angle_alpha 90.00
_cell_angle_beta 90.00
_cell_angle_gamma 90.00
_symmetry_space_group_name_H-M 'C m c 21'
_symmetry_Int_Tables_number 36
loop_
_symmetry_equiv_pos_as_xyz
'x,y,z'
'-x,-y,z+1/2'
'-x,y,z'
'x,-y,z+1/2'
'x+1/2,y+1/2,z'
'-x+1/2,-y+1/2,z+1/2'
'-x+1/2,y+1/2,z'
'x+1/2,-y+1/2,z+1/2'
loop_
_atom_site_label
_atom_site_type_symbol
_atom_site_fract_x
_atom_site_fract_y
_atom_site_fract_z
U1 U 0.000 0.108 0.000
U2 U 0.169 0.396 0.909
Pd1 Pd 0.000 0.298 0.304
Se1 Se 0.000 0.271 0.708
Se2 Se 0.000 0.475 0.198
Se3 Se 0.164 0.032 0.707
Se4 Se 0.187 0.226 0.156
```

Results
total moment: 2.3 μB per formula unit
calculated total energy: -6.990 eV per atom
V: 25.35 Å³/atom
E_form (uncorrected): -994 meV per atom

***

(5)
## VPdSe (GGA-PBE)

Data for crystalline VPdSe at its relaxed geometry.

CIF file:
```
data_VPdSe
_cell_length_a 3.029
_cell_length_b 3.029
_cell_length_c 12.526
_cell_angle_alpha 90.00
_cell_angle_beta 90.00
_cell_angle_gamma 90.00
_symmetry_space_group_name_H-M 'I 4 m m'
_symmetry_Int_Tables_number 107
_symmetry_space_group_name_Hall 'I 4 -2'
loop_
_atom_site_label
_atom_site_type_symbol
_atom_site_fract_x
_atom_site_fract_y
_atom_site_fract_z
V1 V 0.000 0.000 0.000
Pd1 Pd 0.000 0.000 0.818
Se1 Se 0.000 0.000 0.600
```

Results
total moment: 0.0 μB per formula unit
calculated total energy: -5.901 eV per atom
energy above the lowest structure with this stoichiometry: 263 meV per atom
V: 19.16 Å³/atom
E_form (uncorrected): 31 meV per atom

***

(6)
## VPd2Se4 (GGA-PBE)

Data for crystalline VPd2Se4 at its relaxed geometry.

CIF file:
```
data_VPd2Se4
_cell_length_a 4.991
_cell_length_b 4.991
_cell_length_c 12.180
_cell_angle_alpha 90.00
_cell_angle_beta 90.00
_cell_angle_gamma 90.00
_symmetry_space_group_name_H-M 'I 4/m m m'
_symmetry_Int_Tables_number 139
_symmetry_space_group_name_Hall '-I 4 2'
loop_
_atom_site_label
_atom_site_type_symbol
_atom_site_fract_x
_atom_site_fract_y
_atom_site_fract_z
V1 V 0.000 0.000 0.000
Pd1 Pd 0.000 0.000 0.393
Se1 Se 0.000 0.000 0.193
Se2 Se 0.000 0.500 0.000
```

Results
total moment: 0.7 μB per formula unit
calculated total energy: -4.748 eV per atom
energy above the lowest structure with this stoichiometry: 428 meV per atom
V: 21.67 Å³/atom
E_form (uncorrected): 29 meV per atom

***

(7)
## VPd3Se3 (GGA-PBE)

Data for crystalline VPd3Se3 at its relaxed geometry.

CIF file:
```
data_VPd3Se3
_cell_length_a 7.973
_cell_length_b 13.801
_cell_length_c 4.990
_cell_angle_alpha 90.00
_cell_angle_beta 90.00
_cell_angle_gamma 90.00
_symmetry_space_group_name_H-M 'C m c m'
_symmetry_Int_Tables_number 63
_symmetry_space_group_name_Hall '-C 2c 2'
loop_
_atom_site_label
_atom_site_type_symbol
_atom_site_fract_x
_atom_site_fract_y
_atom_site_fract_z
V1 V 0.000 0.167 0.250
Pd1 Pd 0.000 0.282 0.750
Pd2 Pd 0.172 0.109 0.750
Se1 Se 0.000 0.336 0.250
Se2 Se 0.247 0.418 0.750
```

Results
total moment: 0.0 μB per formula unit
calculated total energy: -5.252 eV per atom
V: 19.61 Å³/atom
E_form (uncorrected): -230 meV per atom

***

(8)
## VPd3Se4 (GGA-PBE)

Data for crystalline VPd3Se4 at its relaxed geometry.

CIF file:
```
data_VPd3Se4
_cell_length_a 7.627
_cell_length_b 6.665
_cell_length_c 6.609
_cell_angle_alpha 90.00
_cell_angle_beta 90.00
_cell_angle_gamma 90.00
_symmetry_space_group_name_H-M 'P m n 21'
_symmetry_Int_Tables_number 31
loop_
_symmetry_equiv_pos_as_xyz
'x,y,z'
'-x+1/2,-y,z+1/2'
'-x,y,z'
'x+1/2,-y,z+1/2'
loop_
_atom_site_label
_atom_site_type_symbol
_atom_site_fract_x
_atom_site_fract_y
_atom_site_fract_z
V1 V 0.000 0.140 0.000
Pd1 Pd 0.000 0.839 0.623
Pd2 Pd 0.197 0.714 0.985
Se1 Se 0.000 0.210 0.649
Se2 Se 0.000 0.863 0.236
Se3 Se 0.216 0.351 0.129
```

Results
total moment: 0.0 μB per formula unit
calculated total energy: -5.157 eV per atom
V: 21.00 Å³/atom
E_form (uncorrected): -327 meV per atom

***

no.,calculated density (g/cm3)
1,8.5
2,8.8
3,7.3
4,8.5
5,6.8
6,6.3
7,7.3
8,6.8